(1)
# Fe2NiRh8, relaxed, DFT PBE
data_Fe2NiRh8
_symmetry_space_group_name_H-M 'I m m m'
_symmetry_Int_Tables_number 71
_symmetry_space_group_name_Hall '-I 2 2'
_cell_length_a 4.000
_cell_length_b 6.621
_cell_length_c 11.658
_cell_angle_alpha 90.00
_cell_angle_beta 90.00
_cell_angle_gamma 90.00
loop_
_atom_site_label
_atom_site_type_symbol
_atom_site_fract_x
_atom_site_fract_y
_atom_site_fract_z
Fe1 Fe 0.000 0.000 0.199
Ni1 Ni 0.000 0.000 0.500
Rh1 Rh 0.000 0.199 0.000
Rh2 Rh 0.000 0.286 0.347
Rh3 Rh 0.000 0.500 0.149
# VASP energy in eV per atom: -7.30
# Magnetization in μB/f.u.: 7.626

***

(2)
# KGaSi, relaxed, DFT PBE
data_KGaSi
_symmetry_space_group_name_H-M 'C m c m'
_symmetry_Int_Tables_number 63
_symmetry_space_group_name_Hall '-C 2c 2'
_cell_length_a 6.887
_cell_length_b 8.670
_cell_length_c 6.281
_cell_angle_alpha 90.00
_cell_angle_beta 90.00
_cell_angle_gamma 90.00
loop_
_atom_site_label
_atom_site_type_symbol
_atom_site_fract_x
_atom_site_fract_y
_atom_site_fract_z
K1 K 0.000 0.125 0.250
Ga1 Ga 0.000 0.500 0.000
Si1 Si 0.000 0.299 0.750
# ΔE_f (raw) in eV per formula unit: 0.45
# VASP energy in eV per atom: -3.03
# Magnetization in μB/f.u.: 0.000

***

(3)
# Zn3HgC, relaxed, DFT PBE
data_Zn3HgC
_symmetry_space_group_name_H-M 'P m -3 m'
_symmetry_Int_Tables_number 221
_symmetry_space_group_name_Hall '-P 4 2 3'
_cell_length_a 5.059
_cell_length_b 5.059
_cell_length_c 5.059
_cell_angle_alpha 90.00
_cell_angle_beta 90.00
_cell_angle_gamma 90.00
loop_
_atom_site_label
_atom_site_type_symbol
_atom_site_fract_x
_atom_site_fract_y
_atom_site_fract_z
Zn1 Zn 0.000 0.000 0.500
Hg1 Hg 0.000 0.000 0.000
C1 C 0.500 0.500 0.500
# VASP energy in eV per atom: -1.02
# Magnetization in μB/f.u.: 2.246

***

(4)
# Ce2AlZn, relaxed, DFT PBE
data_Ce2AlZn
_symmetry_space_group_name_H-M 'P 4/m m m'
_symmetry_Int_Tables_number 123
_symmetry_space_group_name_Hall '-P 4 2'
_cell_length_a 3.579
_cell_length_b 3.579
_cell_length_c 7.509
_cell_angle_alpha 90.00
_cell_angle_beta 90.00
_cell_angle_gamma 90.00
loop_
_atom_site_label
_atom_site_type_symbol
_atom_site_fract_x
_atom_site_fract_y
_atom_site_fract_z
Ce1 Ce 0.000 0.000 0.245
Al1 Al 0.500 0.500 0.500
Zn1 Zn 0.500 0.500 0.000
# VASP energy in eV per atom: -4.44
# Magnetization in μB/f.u.: 1.118

***

(5)
# Dy3Mg2Hg, relaxed, DFT PBE
data_Dy3Mg2Hg
_symmetry_space_group_name_H-M 'P 4/m m m'
_symmetry_Int_Tables_number 123
_symmetry_space_group_name_Hall '-P 4 2'
_cell_length_a 3.798
_cell_length_b 3.798
_cell_length_c 11.064
_cell_angle_alpha 90.00
_cell_angle_beta 90.00
_cell_angle_gamma 90.00
loop_
_atom_site_label
_atom_site_type_symbol
_atom_site_fract_x
_atom_site_fract_y
_atom_site_fract_z
Dy1 Dy 0.000 0.000 0.000
Dy2 Dy 0.000 0.000 0.338
Mg1 Mg 0.500 0.500 0.166
Hg1 Hg 0.500 0.500 0.500
# VASP energy in eV per atom: -3.10
# Magnetization in μB/f.u.: 0.001

***

(6)
# Ga5Ge3Br12, relaxed, DFT PBE
data_Ga5Ge3Br12
_symmetry_space_group_name_H-M 'I a -3 d'
_symmetry_Int_Tables_number 230
_symmetry_space_group_name_Hall '-I 4bd 2c 3'
_cell_length_a 17.321
_cell_length_b 17.321
_cell_length_c 17.321
_cell_angle_alpha 90.00
_cell_angle_beta 90.00
_cell_angle_gamma 90.00
loop_
_atom_site_label
_atom_site_type_symbol
_atom_site_fract_x
_atom_site_fract_y
_atom_site_fract_z
Ga1 Ga 0.000 0.000 0.000
Ga2 Ga 0.000 0.250 0.375
Ge1 Ge 0.000 0.250 0.125
Br1 Br 0.026 0.083 0.651
# ΔE_f (raw) in eV per formula unit: -6.58
# VASP energy in eV per atom: -2.78
# Magnetization in μB/f.u.: 0.000

***

(7)
# Ba2ZrCd, relaxed, DFT PBE
data_Ba2ZrCd
_symmetry_space_group_name_H-M 'F -4 3 m'
_symmetry_Int_Tables_number 216
_symmetry_space_group_name_Hall 'F -4 2 3'
_cell_length_a 8.198
_cell_length_b 8.198
_cell_length_c 8.198
_cell_angle_alpha 90.00
_cell_angle_beta 90.00
_cell_angle_gamma 90.00
loop_
_atom_site_label
_atom_site_type_symbol
_atom_site_fract_x
_atom_site_fract_y
_atom_site_fract_z
Ba1 Ba 0.000 0.000 0.000
Ba2 Ba 0.250 0.250 0.250
Zr1 Zr 0.250 0.250 0.750
Cd1 Cd 0.000 0.000 0.500
# VASP energy in eV per atom: -2.90
# Magnetization in μB/f.u.: 2.494

***

(8)
# Ca2PuAl3Au12, relaxed, DFT PBE
data_Ca2PuAl3Au12
_symmetry_space_group_name_H-M 'R -3 m'
_symmetry_Int_Tables_number 166
_symmetry_space_group_name_Hall '-R 3 2"'
_cell_length_a 7.0424
_cell_length_b 7.0424
_cell_length_c 28.6957
_cell_angle_alpha 90.00
_cell_angle_beta 90.00
_cell_angle_gamma 120.00
loop_
_atom_site_label
_atom_site_type_symbol
_atom_site_fract_x
_atom_site_fract_y
_atom_site_fract_z
Ca1 Ca 0.0000 0.0000 0.1374
Pu1 Pu 0.0000 0.0000 0.5000
Al1 Al 0.0000 0.5000 0.0000
Au1 Au 0.0499 0.5249 0.8931
Au2 Au 0.0618 0.5309 0.6241
# VASP energy in eV per atom: -4.07
# Magnetization in μB/f.u.: 5.481